# 1
Material: Nb2ReOF
Method: DFT, PBE-GGA
State: optimized geometry

Lattice parameters (Å, degrees): 5.017 5.017 3.777 90.00 90.00 90.00
Element x y z (fractional)
Nb 0.000 0.500 0.000
Nb 0.500 0.000 0.000
Re 0.000 0.000 0.000
O 0.000 0.000 0.500
F 0.500 0.500 0.500

N(E_F) in states/eV/cell: 6.643
Electronic total energy in Ha/atom: -0.2726

---

# 2
Material: NbRhO2F
Method: DFT, PBE-GGA
State: optimized geometry

Lattice parameters (Å, degrees): 4.028 4.028 3.976 90.00 90.00 90.00
Element x y z (fractional)
Nb 0.000 0.000 0.000
Rh 0.500 0.500 0.500
O 0.000 0.500 0.500
O 0.500 0.000 0.500
F 0.500 0.500 0.000

N(E_F) in states/eV/cell: 5.420
Electronic total energy in Ha/atom: -0.2246

---

# 3
Material: NbRhO2F
Method: DFT, PBE-GGA
State: optimized geometry

Lattice parameters (Å, degrees): 4.008 4.008 4.150 90.00 90.00 90.00
Element x y z (fractional)
Nb 0.000 0.000 0.000
Rh 0.500 0.500 0.500
O 0.000 0.500 0.000
O 0.500 0.000 0.000
F 0.000 0.000 0.500

N(E_F) in states/eV/cell: 4.517
Electronic total energy in Ha/atom: -0.2603

---

# 4
Material: NbRhOF2
Method: DFT, PBE-GGA
State: optimized geometry

Lattice parameters (Å, degrees): 4.252 4.252 3.938 90.00 90.00 90.00
Element x y z (fractional)
Nb 0.000 0.000 0.000
Rh 0.500 0.500 0.500
O 0.500 0.500 0.000
F 0.000 0.500 0.500
F 0.500 0.000 0.500

N(E_F) in states/eV/cell: 5.289
Electronic total energy in Ha/atom: -0.2033

---

# 5
Material: NbRuO2F
Method: DFT, PBE-GGA
State: optimized geometry

Lattice parameters (Å, degrees): 4.025 4.025 4.176 90.00 90.00 90.00
Element x y z (fractional)
Nb 0.000 0.000 0.000
Ru 0.500 0.500 0.500
O 0.000 0.500 0.000
O 0.500 0.000 0.000
F 0.000 0.000 0.500

N(E_F) in states/eV/cell: 4.709
Electronic total energy in Ha/atom: -0.2661

---

# 6
Material: NbRuO2F
Method: DFT, PBE-GGA
State: optimized geometry

Lattice parameters (Å, degrees): 3.978 3.978 4.058 90.00 90.00 90.00
Element x y z (fractional)
Nb 0.000 0.000 0.000
Ru 0.500 0.500 0.500
O 0.000 0.500 0.500
O 0.500 0.000 0.500
F 0.500 0.500 0.000

N(E_F) in states/eV/cell: 5.096
Electronic total energy in Ha/atom: -0.2407

---

# 7
Material: NbSO2F
Method: DFT, PBE-GGA
State: optimized geometry

Lattice parameters (Å, degrees): 3.610 3.610 5.132 90.00 90.00 90.00
Element x y z (fractional)
Nb 0.000 0.000 0.000
S 0.500 0.500 0.500
O 0.000 0.500 0.500
O 0.500 0.000 0.500
F 0.500 0.500 0.000

N(E_F) in states/eV/cell: 2.881
Electronic total energy in Ha/atom: -0.1899

---

# 8
Material: NbS2O8F
Method: DFT, PBE-GGA
State: optimized geometry

Lattice parameters (Å, degrees): 5.704 5.704 4.723 90.00 90.00 120.00
Element x y z (fractional)
Nb 0.000 0.000 0.000
S 0.333 0.667 0.287
S 0.667 0.333 0.713
O 0.193 0.387 0.169
O 0.193 0.807 0.169
O 0.333 0.667 0.589
O 0.387 0.193 0.831
O 0.613 0.807 0.169
O 0.667 0.333 0.411
O 0.807 0.193 0.831
O 0.807 0.613 0.831
F 0.000 0.000 0.500

Electronic total energy in Ha/atom: -0.2371

---

| no. | total magnetic moment (μB/f.u.) |
| --- | --- |
| 1 | 1.37 |
| 2 | 2.31 |
| 3 | 1.28 |
| 4 | 2.40 |
| 5 | 2.37 |
| 6 | 1.42 |
| 7 | 3.11 |
| 8 | 0.00 |